No. 1
A plane-wave DFT calculation with GGA-PBE was carried out for a relaxed KAg2AsCl6 crystal.

## Properties
Crystal system: triclinic
N(E_F) in states/eV per cell: 0.0

a = 6.9969 Å, b = 7.0123 Å, c = 8.0288 Å
α = 90.03°, β = 115.65°, γ = 119.80°
Space group P1 (No. 1)
Inequivalent atoms, fractional coordinates:
K (0.0000, 0.0000, 0.0000) x1
Ag (0.4521, 0.2249, 0.6753) x1
Ag (0.6403, 0.8187, 0.4608) x1
As (0.9643, 0.4814, 0.4465) x1
Cl (0.1032, 0.2392, 0.6808) x1
Cl (0.1310, 0.4442, 0.2536) x1
Cl (0.4441, 0.8628, 0.6806) x1
Cl (0.5692, 0.1260, 0.2574) x1
Cl (0.8102, 0.6889, 0.2563) x1
Cl (0.8217, 0.5795, 0.6851) x1

=====

No. 2
A plane-wave DFT calculation with GGA-PBE was carried out for a relaxed MnGaSb2Te crystal.

## Properties
Crystal system: tetragonal
N(E_F) in states/eV per cell: 3.2

a = 4.9918 Å, b = 4.9918 Å, c = 5.6897 Å
α = 90.00°, β = 90.00°, γ = 90.00°
Space group P4/mmm (No. 123)
Inequivalent atoms, fractional coordinates:
Mn (0.0000, 0.0000, 0.0000) x1
Ga (0.5000, 0.5000, 0.5000) x1
Sb (0.0000, 0.5000, 0.0000) x2
Te (0.0000, 0.0000, 0.5000) x1

=====

No. 3
A plane-wave DFT calculation with GGA-PBE was carried out for a relaxed GeTe2Cl crystal.

## Properties
Crystal system: trigonal
N(E_F) in states/eV per cell: 5.7

a = 4.1153 Å, b = 4.1153 Å, c = 25.8977 Å
α = 90.00°, β = 90.00°, γ = 120.00°
Space group R-3m (No. 166, hexagonal axes)
Inequivalent atoms, fractional coordinates:
Ge (0.0000, 0.0000, 0.0000) x3
Te (0.0000, 0.0000, 0.3968) x6
Cl (0.0000, 0.0000, 0.5000) x3

=====

No. 4
A plane-wave DFT calculation with GGA-PBE was carried out for a relaxed DyCdPdAu crystal.

## Properties
Formation energy in eV per formula unit: -2.7
Crystal system: cubic
N(E_F) in states/eV per cell: 10.4

a = 6.8857 Å, b = 6.8857 Å, c = 6.8857 Å
α = 90.00°, β = 90.00°, γ = 90.00°
Space group F-43m (No. 216)
Inequivalent atoms, fractional coordinates:
Dy (0.0000, 0.0000, 0.0000) x4
Cd (0.0000, 0.0000, 0.5000) x4
Pd (0.2500, 0.2500, 0.2500) x4
Au (0.2500, 0.2500, 0.7500) x4

=====

No. 5
A plane-wave DFT calculation with GGA-PBE was carried out for a relaxed Ac8CdGa3I4 crystal.

## Properties
Crystal system: trigonal
N(E_F) in states/eV per cell: 46.8

a = 9.4781 Å, b = 9.4781 Å, c = 23.7168 Å
α = 90.00°, β = 90.00°, γ = 120.00°
Space group R-3m (No. 166, hexagonal axes)
Inequivalent atoms, fractional coordinates:
Ac (0.0000, 0.0000, 0.2357) x6
Ac (0.0111, 0.5055, 0.7612) x18
Cd (0.0000, 0.0000, 0.5000) x3
Ga (0.0000, 0.5000, 0.5000) x9
I (0.0000, 0.0000, 0.0000) x3
I (0.0000, 0.5000, 0.0000) x9

=====

No. 6
A plane-wave DFT calculation with GGA-PBE was carried out for a relaxed ZrTlP2 crystal.

## Properties
Formation energy in eV per formula unit: -2.0
Crystal system: orthorhombic
N(E_F) in states/eV per cell: 3.7

a = 3.5788 Å, b = 3.4698 Å, c = 14.0644 Å
α = 90.00°, β = 90.00°, γ = 90.00°
Space group Amm2 (No. 38)
Inequivalent atoms, fractional coordinates:
Zr (0.0000, 0.0000, 0.0000) x2
Tl (0.0000, 0.0000, 0.2454) x2
P (0.5000, 0.0000, 0.4207) x2
P (0.5000, 0.0000, 0.5845) x2

=====

No. 7
A plane-wave DFT calculation with GGA-PBE was carried out for a relaxed Ba2Ag2PtO6 crystal.

## Properties
Crystal system: trigonal
N(E_F) in states/eV per cell: 27.6

a = 6.3133 Å, b = 6.3133 Å, c = 16.2207 Å
α = 90.00°, β = 90.00°, γ = 120.00°
Space group R-3m (No. 166, hexagonal axes)
Inequivalent atoms, fractional coordinates:
Ba (0.0000, 0.0000, 0.2146) x6
Ag (0.0000, 0.0000, 0.4085) x6
Pt (0.0000, 0.0000, 0.0000) x3
O (0.0529, 0.5265, 0.7472) x18

=====

No. 8
A plane-wave DFT calculation with GGA-PBE was carried out for a relaxed CaZn2PdAu4 crystal.

## Properties
Formation energy in eV per formula unit: -2.7
Crystal system: trigonal
N(E_F) in states/eV per cell: 10.2

a = 4.5337 Å, b = 4.5337 Å, c = 25.2810 Å
α = 90.00°, β = 90.00°, γ = 120.00°
Space group R-3m (No. 166, hexagonal axes)
Inequivalent atoms, fractional coordinates:
Ca (0.0000, 0.0000, 0.0000) x3
Zn (0.0000, 0.0000, 0.2379) x6
Pd (0.0000, 0.0000, 0.5000) x3
Au (0.0000, 0.0000, 0.1233) x6
Au (0.0000, 0.0000, 0.3921) x6

=====

No. 9
A plane-wave DFT calculation with GGA-PBE was carried out for a relaxed PaBi3O8 crystal.

## Properties
Crystal system: cubic
N(E_F) in states/eV per cell: 4.9

a = 5.5112 Å, b = 5.5112 Å, c = 5.5112 Å
α = 90.00°, β = 90.00°, γ = 90.00°
Space group Pm-3m (No. 221)
Inequivalent atoms, fractional coordinates:
Pa (0.0000, 0.0000, 0.0000) x1
Bi (0.0000, 0.5000, 0.5000) x3
O (0.2432, 0.2432, 0.2432) x8

=====

No. 10
A plane-wave DFT calculation with GGA-PBE was carried out for a relaxed Ta2Pt3 crystal.

## Properties
Formation energy in eV per formula unit: -1.5
Crystal system: trigonal
N(E_F) in states/eV per cell: 4.9

a = 4.2845 Å, b = 4.2845 Å, c = 5.8966 Å
α = 90.00°, β = 90.00°, γ = 120.00°
Space group P-3m1 (No. 164)
Inequivalent atoms, fractional coordinates:
Ta (0.3333, 0.6667, 0.3134) x2
Pt (0.0000, 0.0000, 0.5000) x1
Pt (0.3333, 0.6667, 0.8610) x2

=====

No. 11
A plane-wave DFT calculation with GGA-PBE was carried out for a relaxed HoHfCuHg crystal.

## Properties
Formation energy in eV per formula unit: -0.4
Crystal system: cubic
N(E_F) in states/eV per cell: 14.7

a = 6.9729 Å, b = 6.9729 Å, c = 6.9729 Å
α = 90.00°, β = 90.00°, γ = 90.00°
Space group F-43m (No. 216)
Inequivalent atoms, fractional coordinates:
Ho (0.0000, 0.0000, 0.0000) x4
Hf (0.0000, 0.0000, 0.5000) x4
Cu (0.2500, 0.2500, 0.2500) x4
Hg (0.2500, 0.2500, 0.7500) x4

=====

No. 12
A plane-wave DFT calculation with GGA-PBE was carried out for a relaxed SbCl2 crystal.

## Properties
Crystal system: monoclinic

a = 16.9111 Å, b = 3.9081 Å, c = 7.4341 Å
α = 90.00°, β = 115.21°, γ = 90.00°
Space group C2/m (No. 12)
Inequivalent atoms, fractional coordinates:
Sb (0.0239, 0.0000, 0.2284) x4
Cl (0.0925, 0.5000, 0.8118) x4
Cl (0.1423, 0.5000, 0.2979) x4

=====

No. 13
A plane-wave DFT calculation with GGA-PBE was carried out for a relaxed Ti2VCr crystal.

## Properties
Formation energy in eV per formula unit: 0.4
Crystal system: tetragonal
N(E_F) in states/eV per cell: 8.0

a = 3.0538 Å, b = 3.0538 Å, c = 6.3010 Å
α = 90.00°, β = 90.00°, γ = 90.00°
Space group P4/mmm (No. 123)
Inequivalent atoms, fractional coordinates:
Ti (0.0000, 0.0000, 0.2368) x2
V (0.5000, 0.5000, 0.5000) x1
Cr (0.5000, 0.5000, 0.0000) x1

=====

No. 14
A plane-wave DFT calculation with GGA-PBE was carried out for a relaxed K2Tl2Br7 crystal.

## Properties
Crystal system: monoclinic
N(E_F) in states/eV per cell: 7.3

a = 11.0714 Å, b = 13.8046 Å, c = 6.8428 Å
α = 90.00°, β = 102.48°, γ = 90.00°
Space group C2/m (No. 12)
Inequivalent atoms, fractional coordinates:
K (0.0000, 0.2020, 0.0000) x4
Tl (0.2328, 0.5000, 0.4021) x4
Br (0.0000, 0.5000, 0.5000) x2
Br (0.0899, 0.0000, 0.2559) x4
Br (0.2451, 0.3356, 0.1892) x8

=====

No. 15
A plane-wave DFT calculation with GGA-PBE was carried out for a relaxed PaNi4P2 crystal.

## Properties
Formation energy in eV per formula unit: -5.5
Crystal system: tetragonal
N(E_F) in states/eV per cell: 12.8

a = 7.0887 Å, b = 7.0887 Å, c = 3.6777 Å
α = 90.00°, β = 90.00°, γ = 90.00°
Space group P4_2/mnm (No. 136)
Inequivalent atoms, fractional coordinates:
Pa (0.0000, 0.0000, 0.0000) x2
Ni (0.0896, 0.3386, 0.5000) x8
P (0.2187, 0.7813, 0.5000) x4

=====

No. 16
A plane-wave DFT calculation with GGA-PBE was carried out for a relaxed LaYThN3 crystal.

## Properties
Crystal system: monoclinic
N(E_F) in states/eV per cell: 5.8

a = 6.2022 Å, b = 3.6283 Å, c = 9.3081 Å
α = 90.00°, β = 101.93°, γ = 90.00°
Space group P2_1/m (No. 11)
Inequivalent atoms, fractional coordinates:
La (0.1511, 0.2500, 0.1908) x2
Y (0.3581, 0.2500, 0.8638) x2
Th (0.2656, 0.7500, 0.5466) x2
N (0.0489, 0.2500, 0.6596) x2
N (0.2601, 0.7500, 0.9928) x2
N (0.4605, 0.7500, 0.3475) x2

=====

No. 17
A plane-wave DFT calculation with GGA-PBE was carried out for a relaxed LaTlIn4 crystal.

## Properties
Formation energy in eV per formula unit: -1.1
Crystal system: cubic
N(E_F) in states/eV per cell: 20.8

a = 8.7925 Å, b = 8.7925 Å, c = 8.7925 Å
α = 90.00°, β = 90.00°, γ = 90.00°
Space group F-43m (No. 216)
Inequivalent atoms, fractional coordinates:
La (0.0000, 0.0000, 0.0000) x4
Tl (0.2500, 0.2500, 0.7500) x4
In (0.1246, 0.1246, 0.3754) x16

=====

No. 18
A plane-wave DFT calculation with GGA-PBE was carried out for a relaxed TeRuW2 crystal.

## Properties
Crystal system: tetragonal
N(E_F) in states/eV per cell: 23.6

a = 5.8032 Å, b = 5.8032 Å, c = 11.9744 Å
α = 90.00°, β = 90.00°, γ = 90.00°
Space group I-42d (No. 122)
Inequivalent atoms, fractional coordinates:
Te (0.0000, 0.0000, 0.0000) x4
Ru (0.0000, 0.0000, 0.5000) x4
W (0.2086, 0.2500, 0.6250) x8

=====

No. 19
A plane-wave DFT calculation with GGA-PBE was carried out for a relaxed KHgPt2 crystal.

## Properties
Formation energy in eV per formula unit: -0.3
Crystal system: monoclinic
N(E_F) in states/eV per cell: 1.2

a = 2.8516 Å, b = 4.4817 Å, c = 7.5508 Å
α = 90.00°, β = 90.27°, γ = 90.00°
Space group Pm (No. 6)
Inequivalent atoms, fractional coordinates:
K (0.0000, 0.0000, 0.0000) x1
Hg (0.4958, 0.5000, 0.6816) x1
Pt (0.4931, 0.0000, 0.3848) x1
Pt (0.9921, 0.5000, 0.3413) x1

=====

No. 20
A plane-wave DFT calculation with GGA-PBE was carried out for a relaxed PmSm3Hg12 crystal.

## Properties
Formation energy in eV per formula unit: -5.5
Crystal system: tetragonal
N(E_F) in states/eV per cell: 13.6

a = 4.6219 Å, b = 4.6219 Å, c = 19.1210 Å
α = 90.00°, β = 90.00°, γ = 90.00°
Space group P4/mmm (No. 123)
Inequivalent atoms, fractional coordinates:
Pm (0.0000, 0.0000, 0.0000) x1
Sm (0.0000, 0.0000, 0.2504) x2
Sm (0.0000, 0.0000, 0.5000) x1
Hg (0.0000, 0.5000, 0.1255) x4
Hg (0.0000, 0.5000, 0.3752) x4
Hg (0.5000, 0.5000, 0.0000) x1
Hg (0.5000, 0.5000, 0.2503) x2
Hg (0.5000, 0.5000, 0.5000) x1

=====

no.,total moment (Bohr magnetons per cell),total DFT energy (no corrections) (eV per atom)
1,0.00,-3.086
2,2.73,-4.384
3,0.00,-3.187
4,0.00,-4.181
5,0.00,-3.762
6,0.00,-5.925
7,4.46,-5.175
8,0.00,-3.196
9,0.00,-6.831
10,0.00,-8.658
11,3.18,-4.824
12,0.00,-3.269
13,1.62,-8.532
14,0.00,-2.638
15,0.00,-6.991
16,0.00,-8.738
17,0.00,-3.228
18,0.00,-8.217
19,0.00,-3.442
20,0.00,-1.751